[1]
K3CeU3S8 (PBE-GGA, relaxed); V = 426.2 Å³ per cell; formation energy without anion corrections = -1.510 eV per atom; raw total energy = -6.584 eV per atom; DOS at the Fermi energy = 17.323 states/eV per cell
1.0
8.1040 0.0000 -0.0001
-4.0520 7.0181 -0.0269
-0.0001 -4.6520 7.5109
K Ce U S
3 1 3 8
Cartesian
0.0000 0.0000 0.0000
-2.0260 3.5091 -0.0135
2.0260 3.5091 -0.0135
0.0000 -2.3260 3.7554
4.0520 -2.3260 3.7554
2.0260 1.1831 3.7419
-2.0261 1.1831 3.7420
0.0000 2.3471 2.2277
4.0519 0.0190 5.2561
4.0520 2.2962 2.2465
-0.0001 0.0699 5.2373
6.0340 -1.1366 2.2597
-1.9821 3.5027 5.2241
2.0700 -1.1366 2.2598
1.9819 3.5027 5.2240

[2]
Dy2BeGa4Au3 (PBE-GGA, relaxed); energy of formation from the pure elements = -0.514 eV/atom; V = 191.1 Å³ per cell; raw total energy = -4.001 eV per atom; DOS at the Fermi energy = 4.768 states/eV per cell
1.0
-0.5668 3.1711 2.6240
-1.2693 -2.6543 2.9336
10.4325 -1.0697 3.5461
Dy Be Ga Au
2 1 4 3
Cartesian
2.4952 1.3007 2.2565
7.0193 -2.1119 4.0685
4.2982 -0.2764 4.5519
-0.9180 0.2584 2.7788
0.0000 0.0000 0.0000
6.2764 0.9130 3.5417
3.2381 -1.7242 2.7832
5.2163 -0.5348 1.7731
8.6374 0.6709 4.3443
0.8770 -1.4821 1.9807